# Pr6GaSe5

Crystalline Pr6GaSe5 at its relaxed geometry (PBE, Alexandria).

Lattice parameters (Å, degrees): 7.4498 12.8479 7.4295 90.00 109.44 90.00
Space group C2/m (No. 12)
Symmetry-distinct sites (fractional):
Pr: 0.2452 0.0000 0.2548
Pr: 0.2455 0.1638 0.7465
Ga: 0.0000 0.0000 0.5000
Se: 0.0000 0.1678 0.0000
Se: 0.0000 0.3335 0.5000
Se: 0.0000 0.5000 0.0000

Output
Raw formation energy (meV/atom): -1665.4